Entry 1:
A plane-wave DFT calculation with PBE was carried out for a geometry-optimized CdSnN2 structure.

Results
* symmetry: I-42d, No. 122
* energy relative to the elements, uncorrected: 237 meV/atom
* excess energy over the best structure of this formula in the dataset: 0.044 eV per atom
* DFT total energy: -41.24 eV/cell

Cell lengths 5.1321, 5.1321, 6.1004 Å; angles 65.13, 65.13, 90.00 degrees
Positions (direct):
N (0.0913, 0.6250, 0.2500)
N (0.6587, 0.1250, 0.2500)
Sn (0.7500, 0.2500, 0.5000)
Cd (0.5000, 0.5000, 0.0000)
Sn (0.0000, 0.0000, 0.0000)
N (0.8750, 0.9087, 0.7500)
Cd (0.2500, 0.7500, 0.5000)
N (0.3750, 0.3413, 0.7500)


Entry 2:
A plane-wave DFT calculation with PBE was carried out for a geometry-optimized CdSn2N structure.

Results
* symmetry: I-42d, No. 122
* energy relative to the elements, uncorrected: 362 meV/atom
* excess energy over the best structure of this formula in the dataset: 0.000 eV per atom
* DFT total energy: -31.59 eV/cell

Cell lengths 6.0397, 6.0397, 6.8774 Å; angles 63.95, 63.95, 90.00 degrees
Positions (direct):
Sn (0.5405, 0.1250, 0.2500)
Sn (0.2095, 0.6250, 0.2500)
N (0.2500, 0.7500, 0.5000)
Cd (0.7500, 0.2500, 0.5000)
Cd (0.0000, 0.0000, 0.0000)
Sn (0.3750, 0.4595, 0.7500)
Sn (0.8750, 0.7905, 0.7500)
N (0.5000, 0.5000, 0.0000)


Entry 3:
A plane-wave DFT calculation with PBE was carried out for a geometry-optimized CdSnN2 structure.

Results
* symmetry: R-3m, No. 166
* energy relative to the elements, uncorrected: 387 meV/atom
* excess energy over the best structure of this formula in the dataset: 0.194 eV per atom
* DFT total energy: -20.02 eV/cell

Cell lengths 6.5910, 6.5910, 6.5910 Å; angles 29.70, 29.70, 29.70 degrees
Positions (direct):
Sn (0.5000, 0.5000, 0.5000)
N (0.8907, 0.8907, 0.8907)
Cd (0.0000, 0.0000, 0.0000)
N (0.1093, 0.1093, 0.1093)


Entry 4:
A plane-wave DFT calculation with PBE was carried out for a geometry-optimized Cd2SnN2 structure.

Results
* symmetry: P4/mbm, No. 127
* energy relative to the elements, uncorrected: 881 meV/atom
* excess energy over the best structure of this formula in the dataset: 0.750 eV per atom
* DFT total energy: -36.16 eV/cell

Cell lengths 6.7315, 6.7315, 3.4914 Å; angles 90.00, 90.00, 90.00 degrees
Positions (direct):
Sn (0.0000, 0.0000, 0.0000)
N (0.3097, 0.8097, 0.0000)
Cd (0.6432, 0.8568, 0.5000)
Cd (0.3568, 0.1432, 0.5000)
N (0.1903, 0.3097, 0.0000)
Cd (0.8568, 0.3568, 0.5000)
N (0.8097, 0.6903, 0.0000)
Cd (0.1432, 0.6432, 0.5000)
Sn (0.5000, 0.5000, 0.0000)
N (0.6903, 0.1903, 0.0000)


Entry 5:
A plane-wave DFT calculation with PBE was carried out for a geometry-optimized Cd2SnN2 structure.

Results
* symmetry: C2/m, No. 12
* energy relative to the elements, uncorrected: 131 meV/atom
* excess energy over the best structure of this formula in the dataset: 0.000 eV per atom
* DFT total energy: -21.83 eV/cell

Cell lengths 3.1810, 3.1810, 19.1163 Å; angles 72.90, 72.90, 120.02 degrees
Positions (direct):
Cd (0.2550, 0.2550, 0.1996)
Cd (0.7450, 0.7450, 0.8004)
N (0.3702, 0.3702, 0.5360)
N (0.6298, 0.6298, 0.4640)
Sn (0.0000, 0.0000, 0.0000)


Entry 6:
A plane-wave DFT calculation with PBE was carried out for a geometry-optimized CdSnN structure.

Results
* symmetry: P-1, No. 2
* energy relative to the elements, uncorrected: 228 meV/atom
* excess energy over the best structure of this formula in the dataset: 0.000 eV per atom
* DFT total energy: -25.12 eV/cell

Cell lengths 6.0004, 3.4380, 18.1010 Å; angles 92.46, 156.88, 86.68 degrees
Positions (direct):
Sn (0.4672, 0.2250, 0.0969)
N (0.9210, 0.7392, 0.9111)
Cd (0.4600, 0.7324, 0.6622)
Sn (0.5328, 0.7750, 0.9031)
Cd (0.5400, 0.2676, 0.3378)
N (0.0790, 0.2608, 0.0889)


Entry 7:
A plane-wave DFT calculation with PBE was carried out for a geometry-optimized CdSn3N structure.

Results
* symmetry: Pm-3m, No. 221
* energy relative to the elements, uncorrected: 1655 meV/atom
* excess energy over the best structure of this formula in the dataset: 1.187 eV per atom
* DFT total energy: -12.98 eV/cell

Cell lengths 5.4206, 5.4206, 5.4206 Å; angles 90.00, 90.00, 90.00 degrees
Positions (direct):
N (0.5000, 0.5000, 0.5000)
Sn (0.0000, 0.5000, 0.0000)
Sn (0.5000, 0.0000, 0.0000)
Cd (0.0000, 0.0000, 0.0000)
Sn (0.0000, 0.0000, 0.5000)


Entry 8:
A plane-wave DFT calculation with PBE was carried out for a geometry-optimized CdSnN2 structure.

Results
* symmetry: Pna2_1, No. 33
* energy relative to the elements, uncorrected: 229 meV/atom
* excess energy over the best structure of this formula in the dataset: 0.036 eV per atom
* DFT total energy: -82.60 eV/cell

Cell lengths 6.1351, 7.2531, 5.8126 Å; angles 90.00, 90.00, 90.00 degrees
Positions (direct):
Sn (0.0765, 0.1258, 0.9996)
N (0.0981, 0.6407, 0.3939)
N (0.5652, 0.3906, 0.3588)
Sn (0.5765, 0.3742, 0.9996)
N (0.9019, 0.3593, 0.8939)
Cd (0.5834, 0.8758, 0.9976)
N (0.0652, 0.1094, 0.3588)
Sn (0.4235, 0.6258, 0.4996)
N (0.9348, 0.8906, 0.8588)
Cd (0.9166, 0.3758, 0.4976)
N (0.4348, 0.6094, 0.8588)
Cd (0.4166, 0.1242, 0.4976)
N (0.4019, 0.1407, 0.8939)
Sn (0.9235, 0.8742, 0.4996)
N (0.5981, 0.8593, 0.3939)
Cd (0.0834, 0.6242, 0.9976)


Entry 9:
A plane-wave DFT calculation with PBE was carried out for a geometry-optimized CdSnTe2N structure.

Results
* symmetry: P4/mmm, No. 123
* energy relative to the elements, uncorrected: 814 meV/atom
* excess energy over the best structure of this formula in the dataset: 0.135 eV per atom
* DFT total energy: -15.46 eV/cell

Cell lengths 5.8002, 5.8002, 4.2113 Å; angles 90.00, 90.00, 90.00 degrees
Each line ends with the local moment (μB).
Positions (direct):
Cd (0.0000, 0.0000, 0.0000)  0.03
Te (0.0000, 0.5000, 0.0000)  0.12
Sn (0.5000, 0.5000, 0.5000)  0.00
N (0.0000, 0.0000, 0.5000)  1.11
Te (0.5000, 0.0000, 0.0000)  0.12


Entry 10:
A plane-wave DFT calculation with PBE was carried out for a geometry-optimized CdSnTe2N structure.

Results
* symmetry: P4/mmm, No. 123
* energy relative to the elements, uncorrected: 679 meV/atom
* excess energy over the best structure of this formula in the dataset: 0.000 eV per atom
* DFT total energy: -16.13 eV/cell

Cell lengths 5.9657, 5.9657, 3.8985 Å; angles 90.00, 90.00, 90.00 degrees
Positions (direct):
Te (0.0000, 0.5000, 0.0000)
Sn (0.0000, 0.0000, 0.0000)
N (0.0000, 0.0000, 0.5000)
Te (0.5000, 0.0000, 0.0000)
Cd (0.5000, 0.5000, 0.5000)


Entry 11:
A plane-wave DFT calculation with PBE was carried out for a geometry-optimized ThCdSnN structure.

Results
* symmetry: P4/nmm, No. 129
* energy relative to the elements, uncorrected: -868 meV/atom
* DFT total energy: -48.27 eV/cell

Cell lengths 4.2015, 4.2015, 10.6583 Å; angles 90.00, 90.00, 90.00 degrees
Positions (direct):
N (0.5000, 0.5000, 0.0000)
Th (0.0000, 0.5000, 0.8968)
Cd (0.0000, 0.0000, 0.5000)
Cd (0.5000, 0.5000, 0.5000)
Sn (0.5000, 0.0000, 0.6996)
N (0.0000, 0.0000, 0.0000)
Th (0.5000, 0.0000, 0.1032)
Sn (0.0000, 0.5000, 0.3004)


Entry 12:
A plane-wave DFT calculation with PBE was carried out for a geometry-optimized CdSnWN2 structure.

Results
* symmetry: P4/mmm, No. 123
* energy relative to the elements, uncorrected: 2313 meV/atom
* DFT total energy: -22.96 eV/cell

Cell lengths 4.0679, 5.4154, 4.0679 Å; angles 90.00, 90.00, 90.00 degrees
Positions (direct):
Cd (0.0000, 0.5000, 0.0000)
N (0.5000, 0.0000, 0.0000)
W (0.5000, 0.5000, 0.5000)
Sn (0.0000, 0.0000, 0.0000)
N (0.0000, 0.0000, 0.5000)


Entry 13:
A plane-wave DFT calculation with PBE was carried out for a geometry-optimized SrCd3N structure.

Results
* symmetry: Pm-3m, No. 221
* energy relative to the elements, uncorrected: 1411 meV/atom
* excess energy over the best structure of this formula in the dataset: 0.990 eV per atom
* DFT total energy: -5.70 eV/cell

Cell lengths 6.8652, 6.8652, 6.8652 Å; angles 90.00, 90.00, 90.00 degrees
Each line ends with the local moment (μB).
Positions (direct):
Cd (0.0000, 0.5000, 0.0000)  0.00
N (0.5000, 0.5000, 0.5000)  1.76
Cd (0.0000, 0.0000, 0.5000)  0.00
Cd (0.5000, 0.0000, 0.0000)  -0.01
Sr (0.0000, 0.0000, 0.0000)  -0.02


Entry 14:
A plane-wave DFT calculation with PBE was carried out for a geometry-optimized Sr2CdN structure.

Results
* symmetry: R3m, No. 160
* energy relative to the elements, uncorrected: -439 meV/atom
* excess energy over the best structure of this formula in the dataset: 0.003 eV per atom
* DFT total energy: -14.36 eV/cell

Cell lengths 3.7997, 3.7997, 9.2199 Å; angles 78.11, 78.11, 60.00 degrees
Positions (direct):
Sr (0.0517, 0.0517, 0.8448)
N (0.6665, 0.6665, 0.0005)
Cd (0.4999, 0.4999, 0.5003)
Sr (0.2819, 0.2819, 0.1544)


The records above yield density values of 6.7, 6.1, 6.9, 7.8, 4.6, 5.6, 5.0, 6.7, 5.9, 6.0, 8.4, 8.2, 2.3, 4.5 g cm⁻³, respectively.